This record from OQMD via LeMat-Bulk describes crystalline PrAgSb at its relaxed geometry. The functional is PBE.

a = 4.9020 Å, b = 4.9020 Å, c = 4.9020 Å
α = 60.00°, β = 60.00°, γ = 60.00°
Last column: nearest neighbours and their distance in Å.
Sites, in units of the cell vectors:
1 Ag 0.0000 0.0000 0.0000  4 Pr 3.00, 4 Sb 3.00
2 Pr 0.2500 0.2500 0.2500  4 Ag 3.00
3 Sb 0.7500 0.7500 0.7500  4 Ag 3.00

Computed properties:
As for the theoretical density: 7.39 g/cm³. The total DFT energy (no corrections) is -4.453 eV per atom.